[1]
DFT (GGA-PBE) results for Li2SeO4 after structural relaxation.

Results
**Energy relative to the lowest polymorph listed for this composition**: 56 meV/atom
**Magnetic moment**: 0.00 μB per cell
**Symmetry**: C2/c, No. 15
**Raw formation energy**: -1.39 eV/atom
**Energy**: -73.78 eV/cell

a = 5.917 Å, b = 5.917 Å, c = 6.344 Å
α = 103.87°, β = 103.87°, γ = 119.38°
Element x y z (fractional)
Se1 0.126 0.874 0.750
Se2 0.874 0.126 0.250
Li1 0.225 0.775 0.250
Li2 0.595 0.405 0.250
Li3 0.405 0.595 0.750
Li4 0.775 0.225 0.750
O1 0.122 0.660 0.887
O2 0.263 0.202 0.943
O3 0.737 0.798 0.057
O4 0.202 0.263 0.443
O5 0.340 0.878 0.613
O6 0.798 0.737 0.557
O7 0.878 0.340 0.113
O8 0.660 0.122 0.387

[2]
DFT (GGA-PBE) results for Pu2TcSn8 after structural relaxation.

Results
**Energy of formation**: -0.255 eV per atom
**Magnetic moment**: 10.24 μB per cell
**Symmetry**: P4/mmm, No. 123
**Energy**: -73.86 eV/cell

a = 4.690 Å, b = 4.690 Å, c = 12.208 Å
α = 90.00°, β = 90.00°, γ = 90.00°
Last column: magnetic moment on the atom in μB.
Element x y z (fractional)
Sn1 0.500 0.500 0.312  -0.04
Sn2 0.000 0.500 0.500  -0.03
Sn3 0.500 0.500 0.688  -0.04
Sn4 0.500 0.000 0.500  -0.03
Sn5 0.000 0.500 0.124  -0.04
Sn6 0.500 0.000 0.876  -0.04
Sn7 0.000 0.500 0.876  -0.04
Sn8 0.500 0.000 0.124  -0.04
Pu1 0.000 0.000 0.308  5.25
Pu2 0.000 0.000 0.692  5.25
Tc1 0.000 0.000 0.000  -0.19

Computed DOS at the Fermi energy (states/eV per cell) in order:
0.00; 21.57